TeRuCl | GGA-PBE | relaxed

abc: 3.624 3.624 6.714
angles: 90.00 90.00 120.00
Positions (direct):
Te  0.000  0.000  0.000
Ru  0.333  0.667  0.770
Cl  0.667  0.333  0.538

Values from the calculation:
As for the total DFT energy (no corrections): -4.92 eV/atom. As for the symmetry: P3m1. The energy relative to the elements, uncorrected comes out at -0.163 eV/atom.

***

Zr6CoCu | GGA-PBE | relaxed

abc: 6.112 6.112 5.958
angles: 103.31 103.31 120.29
Positions (direct):
Zr  0.038  0.436  0.248
Zr  0.243  0.243  0.757
Zr  0.436  0.038  0.248
Zr  0.564  0.962  0.752
Zr  0.757  0.757  0.243
Zr  0.962  0.564  0.752
Co  0.000  0.000  0.000
Cu  0.500  0.500  0.500

Values from the calculation:
The energy above the lowest structure with this stoichiometry comes out at 2.41 eV/f.u. As for the total DFT energy (no corrections): -7.62 eV/atom. The energy of formation from the pure elements is 0.19 eV per atom. As for the symmetry: C2/m.

***

CaAs2PdRh | GGA-PBE | relaxed

abc: 5.936 5.936 5.936
angles: 137.25 137.25 62.06
Positions (direct):
Ca  0.000  0.000  0.000
As  0.375  0.375  0.000
As  0.625  0.625  0.000
Pd  0.750  0.250  0.500
Rh  0.250  0.750  0.500

Values from the calculation:
The energy above the lowest structure with this stoichiometry comes out at 0.00 eV/f.u. As for the total DFT energy (no corrections): -5.49 eV/atom. The energy of formation from the pure elements is -0.72 eV per atom. As for the symmetry: I-4m2.

***

Pm2Pr2Sb5 | GGA-PBE | relaxed

abc: 9.115 9.115 8.397
angles: 90.00 90.00 53.80
Positions (direct):
Pm  0.190  0.190  0.000
Pm  0.310  0.310  0.500
Pm  0.690  0.690  0.500
Pm  0.810  0.810  0.000
Pr  0.160  0.840  0.663
Pr  0.340  0.660  0.163
Pr  0.660  0.340  0.837
Pr  0.840  0.160  0.337
Sb  0.000  0.000  0.000
Sb  0.002  0.281  0.640
Sb  0.219  0.498  0.860
Sb  0.281  0.002  0.360
Sb  0.498  0.219  0.140
Sb  0.500  0.500  0.500
Sb  0.502  0.781  0.860
Sb  0.719  0.998  0.640
Sb  0.781  0.502  0.140
Sb  0.998  0.719  0.360

Values from the calculation:
As for the total DFT energy (no corrections): -5.33 eV/atom. As for the symmetry: Cmce. The energy relative to the elements, uncorrected comes out at -0.923 eV/atom.